No. 1
Here is a relaxed structure of SrMgB3 from Alexandria. Energies are from PBE.

Its space-group type is No. 221. Its relative energy among the computed polymorphs is 1089.5 meV per atom. The value obtained for the total energy is -2.073 eV per atom.

a = 4.834 Å, b = 4.834 Å, c = 4.834 Å
α = 90.00°, β = 90.00°, γ = 90.00°
Fractional coordinates of all 5 atoms:
Sr1 0.000 0.000 0.000
Mg1 0.500 0.500 0.500
B1 0.000 0.500 0.000
B2 0.000 0.000 0.500
B3 0.500 0.000 0.000

No. 2
Here is a relaxed structure of ErNiRhAu from Alexandria. Energies are from PBE.

Its space-group type is No. 216. The value obtained for the total energy is -5.669 eV per atom.

a = 4.576 Å, b = 4.576 Å, c = 4.576 Å
α = 60.00°, β = 60.00°, γ = 60.00°
Fractional coordinates of all 4 atoms:
Ni1 0.250 0.250 0.250
Rh1 0.750 0.750 0.750
Au1 0.500 0.500 0.500
Er1 0.000 0.000 0.000

No. 3
Here is a relaxed structure of Pa2Fe3B2 from Alexandria. Energies are from PBE.

Its space-group type is No. 12. The value obtained for the total energy is -8.553 eV per atom.

a = 3.224 Å, b = 5.103 Å, c = 6.497 Å
α = 113.81°, β = 90.00°, γ = 108.41°
Each line ends with the local moment (μB).
Fractional coordinates of all 7 atoms:
Pa1 0.864 0.728 0.201  -0.23
Pa2 0.136 0.272 0.799  -0.23
Fe1 0.500 0.000 0.000  0.37
Fe2 0.636 0.272 0.440  1.36
Fe3 0.364 0.728 0.560  1.36
B1 0.849 0.697 0.761  -0.04
B2 0.151 0.303 0.239  -0.04

No. 4
Here is a relaxed structure of Tl2TcAu from Alexandria. Energies are from PBE.

Its space-group type is No. 6. Its relative energy among the computed polymorphs is 37.9 meV per atom. The value obtained for the total energy is -4.085 eV per atom.

a = 4.398 Å, b = 3.589 Å, c = 5.721 Å
α = 71.61°, β = 90.00°, γ = 90.00°
Each line ends with the local moment (μB).
Fractional coordinates of all 4 atoms:
Au1 0.000 0.698 0.480  0.01
Tc1 0.500 0.545 0.785  0.59
Tl1 0.000 0.977 0.920  -0.02
Tl2 0.500 0.280 0.315  -0.01

No. 5
Here is a relaxed structure of ThTaGe2 from Alexandria. Energies are from PBE.

Its space-group type is No. 123. Its relative energy among the computed polymorphs is 97.9 meV per atom. The value obtained for the total energy is -7.404 eV per atom.

a = 3.528 Å, b = 3.528 Å, c = 6.556 Å
α = 90.00°, β = 90.00°, γ = 90.00°
Fractional coordinates of all 4 atoms:
Ge1 0.000 0.000 0.799
Ge2 0.000 0.000 0.201
Th1 0.500 0.500 0.500
Ta1 0.500 0.500 0.000

No. 6
Here is a relaxed structure of ScTlIr2C from Alexandria. Energies are from PBE.

Its space-group type is No. 123. The value obtained for the total energy is -4.700 eV per atom.

a = 4.738 Å, b = 5.625 Å, c = 4.738 Å
α = 90.00°, β = 90.00°, γ = 90.00°
Each line ends with the local moment (μB).
Fractional coordinates of all 5 atoms:
Sc1 0.000 0.000 0.000  0.01
Tl1 0.000 0.500 0.000  0.04
Ir1 0.000 0.000 0.500  -0.11
Ir2 0.500 0.000 0.000  -0.13
C1 0.500 0.500 0.500  0.75

Among the records above, which one has the lowest total energy? Pa2Fe3B2